Model i:
{"formula": "ZnMo2Pb", "functional": "meta-GGA SCAN", "state": "single point on PBEsol structure", "cell": [[3.233, 0.000, 0.000], [0.000, 4.775, -0.052], [-1.617, -0.836, 4.561]], "species": ["Mo", "Mo", "Pb", "Zn"], "fractional_positions": [[0.246, 0.198, 0.493], [0.754, 0.802, 0.507], [0.000, 0.500, 0.000], [0.500, 0.000, 0.000]], "m_tot_mub_per_cell": 0.00, "spacegroup": "C2/m"}

=====

Model ii:
{"formula": "ZnMo2Pb", "functional": "meta-GGA SCAN", "state": "single point on PBEsol structure", "cell": [[3.122, 0.000, 0.000], [1.561, 2.704, 0.000], [1.561, 0.901, 8.981]], "species": ["Mo", "Mo", "Pb", "Zn"], "fractional_positions": [[0.006, 0.006, 0.983], [0.736, 0.736, 0.793], [0.498, 0.498, 0.507], [0.261, 0.261, 0.218]], "m_tot_mub_per_cell": 0.00, "spacegroup": "R3m"}

=====

Most stable = model ii

=====

Model i:
{"formula": "ZrMoPb2", "functional": "meta-GGA SCAN", "state": "single point on PBEsol structure", "cell": [[-2.000, 1.639, 2.240], [1.108, -2.060, 2.496], [5.257, 4.513, 1.391]], "species": ["Mo", "Pb", "Pb", "Zr"], "fractional_positions": [[0.500, 0.500, 0.500], [0.000, 0.000, 0.728], [0.000, 0.000, 0.272], [0.500, 0.500, 0.000]], "m_tot_mub_per_cell": 0.00, "spacegroup": "P4/mmm"}

=====

Model ii:
{"formula": "ZrMoPb2", "functional": "meta-GGA SCAN", "state": "single point on PBEsol structure", "cell": [[-0.808, -3.326, 0.581], [-0.083, -0.833, -4.888], [5.274, 0.856, 1.860]], "species": ["Mo", "Pb", "Pb", "Zr"], "fractional_positions": [[0.235, 0.768, 0.470], [0.983, 0.954, 0.966], [0.758, 0.283, 0.516], [0.524, 0.495, 0.048]], "m_tot_mub_per_cell": 0.00, "spacegroup": "Cm"}

=====

Most stable = model ii

=====

Model i:
{"formula": "TaMo3Pd", "functional": "meta-GGA SCAN", "state": "single point on PBEsol structure", "cell": [[-3.423, -0.479, -3.045], [-0.973, -4.150, 1.747], [-2.925, 1.941, 2.983]], "species": ["Mo", "Mo", "Mo", "Pd", "Ta"], "fractional_positions": [[0.000, 0.500, 0.000], [0.000, 0.000, 0.500], [0.500, 0.000, 0.000], [0.000, 0.000, 0.000], [0.500, 0.500, 0.500]], "m_tot_mub_per_cell": 0.00, "spacegroup": "Pm-3m"}

=====

Model ii:
{"formula": "TaMo3Pd", "functional": "meta-GGA SCAN", "state": "single point on PBEsol structure", "cell": [[4.657, 0.000, 0.000], [0.000, 4.657, 0.000], [0.000, 0.000, 4.657]], "species": ["Mo", "Mo", "Mo", "Pd", "Ta"], "fractional_positions": [[0.000, 0.500, 0.000], [0.000, 0.000, 0.500], [0.500, 0.000, 0.000], [0.500, 0.500, 0.500], [0.000, 0.000, 0.000]], "m_tot_mub_per_cell": 0.00, "spacegroup": "Pm-3m"}

=====

Most stable = model ii

=====

Model i:
{"formula": "TeMoPd3", "functional": "meta-GGA SCAN", "state": "single point on PBEsol structure", "cell": [[4.740, 0.000, 0.000], [0.000, 4.740, 0.000], [0.000, 0.000, 4.740]], "species": ["Mo", "Te", "Pd", "Pd", "Pd"], "fractional_positions": [[0.000, 0.000, 0.000], [0.500, 0.500, 0.500], [0.000, 0.500, 0.000], [0.000, 0.000, 0.500], [0.500, 0.000, 0.000]], "m_tot_mub_per_cell": 0.00, "spacegroup": "Pm-3m"}

=====

Model ii:
{"formula": "TeMoPd3", "functional": "meta-GGA SCAN", "state": "single point on PBEsol structure", "cell": [[4.821, 0.000, 0.000], [0.000, 4.821, 0.000], [0.000, 0.000, 4.821]], "species": ["Mo", "Te", "Pd", "Pd", "Pd"], "fractional_positions": [[0.500, 0.500, 0.500], [0.000, 0.000, 0.000], [0.000, 0.500, 0.000], [0.000, 0.000, 0.500], [0.500, 0.000, 0.000]], "m_tot_mub_per_cell": 4.34, "spacegroup": "Pm-3m"}

=====

Most stable = model ii

=====

Model i:
{"formula": "Te2MoPd", "functional": "meta-GGA SCAN", "state": "single point on PBEsol structure", "cell": [[-2.603, 0.080, -2.007], [0.175, -1.389, -2.975], [-3.758, -8.325, 1.847]], "species": ["Mo", "Te", "Te", "Pd"], "fractional_positions": [[0.000, 0.000, 0.000], [0.906, 0.906, 0.282], [0.094, 0.094, 0.718], [0.500, 0.500, 0.500]], "m_tot_mub_per_cell": 1.78, "spacegroup": "R-3m"}

=====

Model ii:
{"formula": "Te2MoPd", "functional": "meta-GGA SCAN", "state": "single point on PBEsol structure", "cell": [[3.374, 0.000, 0.000], [1.687, 2.922, 0.000], [1.687, 0.974, 8.801]], "species": ["Mo", "Te", "Te", "Pd"], "fractional_positions": [[0.500, 0.500, 0.500], [0.904, 0.904, 0.287], [0.096, 0.096, 0.713], [0.000, 0.000, 0.000]], "m_tot_mub_per_cell": 0.00, "spacegroup": "R-3m"}

=====

Most stable = model ii

=====

Model i:
{"formula": "MoPt5", "functional": "meta-GGA SCAN", "state": "single point on PBEsol structure", "cell": [[3.884, 0.000, 0.000], [0.000, 3.926, 0.000], [-1.942, 0.000, 5.886]], "species": ["Mo", "Pt", "Pt", "Pt", "Pt", "Pt"], "fractional_positions": [[0.500, 0.000, 0.000], [0.336, 0.500, 0.672], [0.160, 0.000, 0.319], [0.000, 0.500, 0.000], [0.840, 0.000, 0.681], [0.664, 0.500, 0.328]], "m_tot_mub_per_cell": 0.00, "spacegroup": "Cmmm"}

=====

Model ii:
{"formula": "MoPt5", "functional": "meta-GGA SCAN", "state": "single point on PBEsol structure", "cell": [[2.761, 0.000, 0.000], [0.000, 4.532, 0.000], [-1.381, 0.000, 7.188]], "species": ["Mo", "Pt", "Pt", "Pt", "Pt", "Pt"], "fractional_positions": [[0.997, 0.000, 0.995], [0.225, 0.500, 0.449], [0.336, 0.000, 0.672], [0.557, 0.500, 0.114], [0.660, 0.000, 0.321], [0.892, 0.500, 0.783]], "m_tot_mub_per_cell": 0.00, "spacegroup": "Amm2"}

=====

Most stable = model i

=====

Model i:
{"formula": "Re2MoPt", "functional": "meta-GGA SCAN", "state": "single point on PBEsol structure", "cell": [[2.733, 0.000, 0.000], [0.000, 3.928, 0.000], [0.000, 0.000, 5.520]], "species": ["Mo", "Pt", "Re", "Re"], "fractional_positions": [[0.500, 0.500, 0.000], [0.500, 0.500, 0.500], [0.000, 0.000, 0.762], [0.000, 0.000, 0.238]], "m_tot_mub_per_cell": 0.01, "spacegroup": "Pmmm"}

=====

Model ii:
{"formula": "Re2MoPt", "functional": "meta-GGA SCAN", "state": "single point on PBEsol structure", "cell": [[-0.214, -3.642, -1.326], [3.543, -0.721, 1.410], [-1.574, -1.136, 3.375]], "species": ["Re", "Re", "Mo", "Pt"], "fractional_positions": [[0.000, 0.500, 0.000], [0.500, 0.000, 0.000], [0.500, 0.500, 0.500], [0.000, 0.000, 0.500]], "m_tot_mub_per_cell": 0.00, "spacegroup": "P4/mmm"}

=====

Model iii:
{"formula": "Re2MoPt", "functional": "meta-GGA SCAN", "state": "single point on PBEsol structure", "cell": [[-3.488, -1.703, -0.418], [1.448, -3.322, 1.451], [0.044, 3.640, 3.038]], "species": ["Mo", "Pt", "Re", "Re"], "fractional_positions": [[0.000, 0.000, 0.000], [0.250, 0.750, 0.500], [0.500, 0.500, 0.000], [0.750, 0.250, 0.500]], "m_tot_mub_per_cell": 0.00, "spacegroup": "I-4m2"}

=====

Most stable = model ii

=====

Model i:
{"formula": "MoPt2Rh", "functional": "meta-GGA SCAN", "state": "single point on PBEsol structure", "cell": [[-1.290, -2.397, 0.192], [1.118, -0.405, 2.456], [-6.119, 3.565, 3.375]], "species": ["Mo", "Rh", "Pt", "Pt"], "fractional_positions": [[0.500, 0.500, 0.744], [0.000, 0.000, 0.511], [0.000, 0.000, 0.990], [0.500, 0.500, 0.256]], "m_tot_mub_per_cell": 0.00, "spacegroup": "P4mm"}

=====

Model ii:
{"formula": "MoPt2Rh", "functional": "meta-GGA SCAN", "state": "single point on PBEsol structure", "cell": [[-1.527, -1.523, -3.211], [1.846, -3.326, 0.699], [-3.206, 1.164, 3.303]], "species": ["Mo", "Rh", "Pt", "Pt"], "fractional_positions": [[0.250, 0.750, 0.500], [0.000, 0.000, 0.000], [0.500, 0.500, 0.000], [0.750, 0.250, 0.500]], "m_tot_mub_per_cell": 0.01, "spacegroup": "I-4m2"}

=====

Most stable = model ii

=====

Model i:
{"formula": "Mo2PtRh", "functional": "meta-GGA SCAN", "state": "single point on PBEsol structure", "cell": [[2.709, 0.000, 0.000], [0.000, 3.878, 0.000], [0.000, 0.000, 5.606]], "species": ["Mo", "Mo", "Pt", "Rh"], "fractional_positions": [[0.000, 0.000, 0.978], [0.500, 0.500, 0.259], [0.000, 0.000, 0.498], [0.500, 0.500, 0.765]], "m_tot_mub_per_cell": 0.00, "spacegroup": "Pmm2"}

=====

Model ii:
{"formula": "Mo2PtRh", "functional": "meta-GGA SCAN", "state": "single point on PBEsol structure", "cell": [[2.697, 0.000, 0.000], [0.000, 4.820, 0.000], [0.000, -1.807, 4.468]], "species": ["Mo", "Mo", "Rh", "Pt"], "fractional_positions": [[0.000, 0.500, 0.000], [0.000, 0.000, 0.500], [0.500, 0.500, 0.500], [0.500, 0.000, 0.000]], "m_tot_mub_per_cell": 0.00, "spacegroup": "Cmmm"}

=====

Model iii:
{"formula": "Mo2PtRh", "functional": "meta-GGA SCAN", "state": "single point on PBEsol structure", "cell": [[2.707, 0.000, 0.000], [-1.354, 4.526, 0.000], [0.000, -0.796, 4.784]], "species": ["Mo", "Mo", "Pt", "Rh"], "fractional_positions": [[0.002, 0.003, 0.022], [0.250, 0.500, 0.733], [0.501, 0.002, 0.511], [0.747, 0.495, 0.234]], "m_tot_mub_per_cell": 0.00, "spacegroup": "Cm"}

=====

Model iv:
{"formula": "Mo2PtRh", "functional": "meta-GGA SCAN", "state": "single point on PBEsol structure", "cell": [[-0.230, -2.678, -0.243], [3.943, -0.377, 0.430], [-0.625, -0.432, 5.350]], "species": ["Mo", "Mo", "Rh", "Pt"], "fractional_positions": [[0.000, 0.000, 0.742], [0.000, 0.000, 0.258], [0.500, 0.500, 0.500], [0.500, 0.500, 0.000]], "m_tot_mub_per_cell": 0.00, "spacegroup": "Pmmm"}

=====

Most stable = model iv

=====

Model i:
{"formula": "Mo2PtRh", "functional": "meta-GGA SCAN", "state": "single point on PBEsol structure", "cell": [[-2.849, -2.041, 1.512], [2.083, -0.577, 3.146], [-1.518, 3.314, 1.613]], "species": ["Mo", "Mo", "Rh", "Pt"], "fractional_positions": [[0.000, 0.500, 0.000], [0.500, 0.000, 0.000], [0.000, 0.000, 0.500], [0.500, 0.500, 0.500]], "m_tot_mub_per_cell": 0.00, "spacegroup": "P4/mmm"}

=====

Model ii:
{"formula": "Mo2PtRh", "functional": "meta-GGA SCAN", "state": "single point on PBEsol structure", "cell": [[2.713, 0.000, 0.000], [0.000, 4.412, 0.000], [0.000, 0.000, 4.845]], "species": ["Mo", "Mo", "Rh", "Pt"], "fractional_positions": [[0.000, 0.000, 0.043], [0.000, 0.500, 0.709], [0.500, 0.500, 0.205], [0.500, 0.000, 0.542]], "m_tot_mub_per_cell": 0.00, "spacegroup": "Pmm2"}

=====

Most stable = model ii

=====

Model i:
{"formula": "MoRu2Pt", "functional": "meta-GGA SCAN", "state": "single point on PBEsol structure", "cell": [[-0.966, -2.335, -2.870], [3.303, -1.881, 0.419], [-2.850, -0.285, 3.738]], "species": ["Ru", "Ru", "Mo", "Pt"], "fractional_positions": [[0.500, 0.500, 0.000], [0.750, 0.250, 0.500], [0.000, 0.000, 0.000], [0.250, 0.750, 0.500]], "m_tot_mub_per_cell": 0.00, "spacegroup": "I-4m2"}

=====

Model ii:
{"formula": "MoRu2Pt", "functional": "meta-GGA SCAN", "state": "single point on PBEsol structure", "cell": [[3.769, 0.000, 0.000], [0.000, 3.863, 0.000], [0.000, 0.000, 3.863]], "species": ["Ru", "Ru", "Mo", "Pt"], "fractional_positions": [[0.000, 0.000, 0.500], [0.000, 0.500, 0.000], [0.500, 0.500, 0.500], [0.500, 0.000, 0.000]], "m_tot_mub_per_cell": 0.00, "spacegroup": "P4/mmm"}

=====

Model iii:
{"formula": "MoRu2Pt", "functional": "meta-GGA SCAN", "state": "single point on PBEsol structure", "cell": [[2.697, 0.000, 0.000], [0.000, 3.868, 0.000], [0.000, 0.000, 5.437]], "species": ["Ru", "Ru", "Mo", "Pt"], "fractional_positions": [[0.500, 0.000, 0.022], [0.000, 0.500, 0.239], [0.500, 0.000, 0.488], [0.000, 0.500, 0.751]], "m_tot_mub_per_cell": 0.00, "spacegroup": "Pmm2"}

=====

Model iv:
{"formula": "MoRu2Pt", "functional": "meta-GGA SCAN", "state": "single point on PBEsol structure", "cell": [[2.697, 0.000, 0.000], [-1.349, 4.491, 0.006], [0.000, -0.823, 4.679]], "species": ["Mo", "Pt", "Ru", "Ru"], "fractional_positions": [[0.000, 0.000, 0.500], [0.500, 0.000, 0.000], [0.747, 0.494, 0.740], [0.253, 0.506, 0.260]], "m_tot_mub_per_cell": 0.00, "spacegroup": "C2/m"}

=====

Most stable = model ii

=====

Model i:
{"formula": "Te2MoPt", "functional": "meta-GGA SCAN", "state": "single point on PBEsol structure", "cell": [[-2.061, -2.503, 0.872], [1.119, -3.165, 0.021], [2.119, -0.974, 8.676]], "species": ["Mo", "Te", "Te", "Pt"], "fractional_positions": [[0.500, 0.500, 0.500], [0.904, 0.904, 0.287], [0.096, 0.096, 0.713], [0.000, 0.000, 0.000]], "m_tot_mub_per_cell": 0.00, "spacegroup": "R-3m"}

=====

Model ii:
{"formula": "Te2MoPt", "functional": "meta-GGA SCAN", "state": "single point on PBEsol structure", "cell": [[-1.283, -1.529, 2.912], [1.636, -2.803, 1.390], [4.896, 3.740, 6.261]], "species": ["Mo", "Te", "Te", "Pt"], "fractional_positions": [[0.000, 0.000, 0.000], [0.901, 0.901, 0.298], [0.099, 0.099, 0.702], [0.500, 0.500, 0.500]], "m_tot_mub_per_cell": 1.26, "spacegroup": "R-3m"}

=====

Most stable = model i